[1]
The following is a GGA-PBE calculation of crystalline Pa2Al3Ge3 at its relaxed geometry, from Alexandria.

## Properties
SG: No. 47
energy of formation: -0.392 eV per atom

```
Pa2Al3Ge3
1.0
-1.988 1.223 -3.757
-0.735 -4.140 -0.959
-7.230 0.369 3.945
Pa Al Ge
2 3 3
Cartesian
-5.376 0.274 2.933 Pa
-1.855 0.095 1.012 Pa
-6.827 -1.180 0.624 Al
-3.125 -1.369 -1.396 Al
-0.994 0.612 -1.879 Al
-4.609 0.796 0.094 Ge
-0.367 -2.070 -0.480 Ge
-3.982 -1.886 1.493 Ge
```

[2]
The following is a GGA-PBE calculation of crystalline ZnMoBr at its relaxed geometry, from Alexandria.

## Properties
SG: No. 216
DFT total energy: -3.330 eV/atom

```
ZnMoBr
1.0
4.695 0.000 0.000
2.347 4.066 0.000
2.347 1.355 3.833
Br Mo Zn
1 1 1
Cartesian
0.000 0.000 0.000 Br
4.695 2.711 1.917 Mo
7.042 4.066 2.875 Zn
```

[3]
The following is a GGA-PBE calculation of crystalline Nd2OsO8 at its relaxed geometry, from Alexandria.

## Properties
SG: No. 12
DFT total energy: -7.051 eV/atom

```
Nd2OsO8
1.0
-0.163 -0.061 3.727
4.820 -0.731 0.199
-1.171 7.929 -1.789
Nd Os O
2 1 8
Cartesian
0.690 4.835 1.977 Nd
2.796 2.303 0.160 Nd
-0.082 -0.030 1.864 Os
1.789 6.311 0.182 O
4.046 0.898 2.060 O
2.891 3.637 2.054 O
0.992 0.396 0.050 O
0.595 3.501 0.083 O
-0.560 6.240 0.078 O
1.697 0.827 1.956 O
2.494 6.742 2.087 O
```

Theoretical density: 8.03, 5.48, 7.26 (Mg/m³)
Spin magnetization: 0.000, 4.213, 0.000 (μB per formula unit)